Compound: DyEr2Pd
Source: the Alexandria database
Functional: GGA-PBE
Structure: relaxed

**Uncorrected energy**: -20.16 eV for the cell shown
**Space-group type**: R3m, No. 160
**DOS(E_F)**: 1.209 states/eV per atom

Cell lengths 9.7410, 9.7410, 9.7410 Å; angles 21.80, 21.80, 21.80 degrees
Sites, in units of the cell vectors:
Dy 0.0000 0.0000 0.0000
Er 0.5645 0.5645 0.5645
Er 0.7664 0.7664 0.7664
Pd 0.1653 0.1653 0.1653